! AcPuTeAs PBE optimized geometry; values from VASP
&SYSTEM
  ibrav = 0, nat = 4, ntyp = 4
/
ATOMIC_SPECIES
As 74.92 As.upf
Ac 227.00 Ac.upf
Te 127.60 Te.upf
Pu 244.00 Pu.upf
ATOMIC_POSITIONS crystal
As 0.2950 0.5455 0.8557
Ac 0.1163 0.9561 0.0876
Te 0.9778 0.3869 0.3799
Pu 0.4888 0.1423 0.6464
CELL_PARAMETERS angstrom
4.3827 -0.0007 -0.0004
-2.1910 3.7962 0.0003
-2.1906 -1.2651 7.8032
! spin magnetization	1.479	μB/atom
! energy above the lowest structure with this stoichiometry	0	kJ/mol of formula units
! mass density	8.62	g/cm3
! symmetry	R3m